A relaxed structure of ErBe5Cu7, computed with PBE.

The value obtained for the formation energy is -0.148 eV per atom. As for the symmetry: Imm2 (44). For the density of states at the Fermi level, the calculation gives 0.274 states/eV per atom.

Lattice parameters (Å, degrees): 4.5010 6.1830 6.1830 82.39 68.66 68.66
Atoms (fractional coordinates):
Er1 0.9970 0.0030 0.0030
Be1 0.5003 0.9954 0.5026
Be2 0.0017 0.9954 0.5026
Be3 0.5003 0.5026 0.9954
Be4 0.0017 0.5026 0.9954
Be5 0.7352 0.7648 0.7648
Cu1 0.6448 0.3552 0.3552
Cu2 0.3447 0.6553 0.6553
Cu3 0.9946 0.3564 0.6545
Cu4 0.9946 0.6545 0.3564
Cu5 0.2741 0.2259 0.2259
Cu6 0.5055 0.7803 0.2087
Cu7 0.5055 0.2087 0.7803

A relaxed structure of Ta2MoRuAu, computed with PBE.

The value obtained for the formation energy is 1.763 eV per atom. As for the symmetry: P4/mmm (123). For the density of states at the Fermi level, the calculation gives 1.390 states/eV per atom.

Lattice parameters (Å, degrees): 4.6969 4.9611 4.6969 90.00 90.00 90.00
Atoms (fractional coordinates):
Ru1 0.5000 0.5000 0.5000
Mo1 0.0000 0.0000 0.0000
Au1 0.0000 0.5000 0.0000
Ta1 0.0000 0.0000 0.5000
Ta2 0.5000 0.0000 0.0000

A relaxed structure of DyU2FeC4, computed with PBE.

The value obtained for the formation energy is -0.088 eV per atom. As for the symmetry: Cmcm (63). For the density of states at the Fermi level, the calculation gives 0.957 states/eV per atom.

Lattice parameters (Å, degrees): 3.5134 5.8381 11.5098 90.00 90.00 107.51
Atoms (fractional coordinates):
Dy1 0.1047 0.2095 0.7500
Dy2 0.8953 0.7905 0.2500
U1 0.3696 0.7393 0.5510
U2 0.6304 0.2607 0.0510
U3 0.6304 0.2607 0.4490
U4 0.3696 0.7393 0.9490
Fe1 0.8404 0.6809 0.7500
Fe2 0.1596 0.3191 0.2500
C1 0.2593 0.5186 0.1219
C2 0.7407 0.4814 0.6219
C3 0.7407 0.4814 0.8781
C4 0.2593 0.5186 0.3781
C5 0.0000 0.0000 0.5000
C6 0.0000 0.0000 0.0000
C7 0.4304 0.8608 0.7500
C8 0.5696 0.1392 0.2500